The following is a DFT calculation (PBE+U) of crystalline RbBaCoO2 at its relaxed geometry.

It has space group P2/c (No. 13), with a = 6.036 Å, b = 5.663 Å, c = 7.717 Å, α = 90.00°, β = 90.23° and γ = 90.00°. Symmetry generates all atoms from Rb at (0.000, 0.002, 0.250), Ba at (0.500, 0.500, 0.250), Co at (0.500, 0.000, 0.000) and O at (0.313, 0.245, 0.999).

The final energy comes out at -5.07 eV/atom.